Entry 1:
## ScTa2In (PBE)

Data for an optimized crystal structure of ScTa2In.

The space group is P4mm (No. 99) and the conventional cell measures 3.4971, 3.4971 and 6.6709 Å, with angles of 90.00, 90.00 and 90.00 degrees. The distinct sites, in fractional coordinates, are Sc at (0.0000, 0.0000, 0.0000), Ta at (0.0000, 0.0000, 0.4569), Ta at (0.5000, 0.5000, 0.2636) and In at (0.5000, 0.5000, 0.7266).

The electronic total energy is -8.240 eV per atom. As for the formation energy: -0.18 eV/f.u.

Entry 2:
## Sc2TaIn (PBE)

Data for an optimized crystal structure of Sc2TaIn.

The space group is I-4m2 (No. 119) and the conventional cell measures 4.2956, 4.2956 and 9.1139 Å, with angles of 90.00, 90.00 and 90.00 degrees. The distinct sites, in fractional coordinates, are Sc at (0.0000, 0.0000, 0.0000), Sc at (0.0000, 0.5000, 0.2500), Ta at (0.0000, 0.5000, 0.7500) and In at (0.0000, 0.0000, 0.5000).

The electronic total energy is -6.858 eV per atom. As for the formation energy: -0.18 eV/f.u.

Entry 3:
## ScTa2In (PBE)

Data for an optimized crystal structure of ScTa2In.

The space group is P4/mmm (No. 123) and the conventional cell measures 2.9267, 2.9267 and 9.3738 Å, with angles of 90.00, 90.00 and 90.00 degrees. The distinct sites, in fractional coordinates, are Sc at (0.0000, 0.0000, 0.0000), Ta at (0.5000, 0.5000, 0.2546) and In at (0.0000, 0.0000, 0.5000).

The electronic total energy is -7.998 eV per atom. As for the formation energy: 0.78 eV/f.u.

Entry 4:
## ScTaIn2 (PBE)

Data for an optimized crystal structure of ScTaIn2.

The space group is P4/mmm (No. 123) and the conventional cell measures 3.0492, 3.0492 and 8.9274 Å, with angles of 90.00, 90.00 and 90.00 degrees. The distinct sites, in fractional coordinates, are Sc at (0.0000, 0.0000, 0.0000), Ta at (0.0000, 0.0000, 0.5000) and In at (0.5000, 0.5000, 0.2571).

The value obtained for the energy above the lowest structure with this stoichiometry is 0.00 eV per formula unit. The electronic total energy is -6.000 eV per atom. As for the formation energy: -0.34 eV/f.u.

Entry 5:
## Sc2TaIn (PBE)

Data for an optimized crystal structure of Sc2TaIn.

The space group is P4/mmm (No. 123) and the conventional cell measures 3.0536, 3.0536 and 9.1493 Å, with angles of 90.00, 90.00 and 90.00 degrees. The distinct sites, in fractional coordinates, are Sc at (0.0000, 0.0000, 0.2403), Ta at (0.5000, 0.5000, 0.0000) and In at (0.5000, 0.5000, 0.5000).

The electronic total energy is -6.950 eV per atom. As for the formation energy: -0.55 eV/f.u.

Entry 6:
## ScTaIn2 (PBE)

Data for an optimized crystal structure of ScTaIn2.

The space group is F-43m (No. 216) and the conventional cell measures 7.0181, 7.0181 and 7.0181 Å, with angles of 90.00, 90.00 and 90.00 degrees. The distinct sites, in fractional coordinates, are Sc at (0.0000, 0.0000, 0.0000), Ta at (0.2500, 0.2500, 0.7500), In at (0.0000, 0.0000, 0.5000) and In at (0.2500, 0.2500, 0.2500).

The value obtained for the energy above the lowest structure with this stoichiometry is 1.92 eV per formula unit. The electronic total energy is -5.520 eV per atom. As for the formation energy: 1.58 eV/f.u.

Which of these has the lowest electronic total energy? number 1